Density functional theory data (PBE-GGA) for an optimized crystal structure of Y2Ho2CI2Br2Cl.

space group: No. 12
final energy: -5.296 eV/atom

a = 9.521 Å, b = 9.521 Å, c = 8.006 Å
α = 102.00°, β = 102.00°, γ = 23.31°
Positions (direct):
Y1 0.000 0.000 0.207
Y2 0.000 0.000 0.793
Ho1 0.369 0.369 0.930
Ho2 0.631 0.631 0.070
C1 0.500 0.500 0.000
I1 0.170 0.170 0.809
I2 0.830 0.830 0.191
Br1 0.158 0.158 0.338
Br2 0.842 0.842 0.662
Cl1 0.500 0.500 0.500